[1]
An optimized crystal structure of Th3Sc, computed with PBE.

Geometry as POSCAR:
```
Th3Sc
1.0
4.966 0.000 0.000
0.000 4.966 0.000
0.000 0.000 4.966
Sc Th
1 3
Direct
0.000 0.000 0.000
0.500 0.000 0.500
0.000 0.500 0.500
0.500 0.500 0.000
```

Properties
Density   10.0 g/cm³
Total moment   0.00 μB/atom
Space-group type   Pm-3m
D(E_F)   6.75 states/eV per cell
Energy relative to the lowest polymorph listed for this composition   0.037 eV per atom

[2]
An optimized crystal structure of Th2Sc13, computed with PBE.

Geometry as POSCAR:
```
Th2Sc13
1.0
5.631 0.000 3.235
1.886 5.306 3.235
-2.546 -1.797 10.950
Th Sc
2 13
Direct
0.294 0.294 0.119
0.706 0.706 0.881
0.460 0.954 0.631
0.210 0.714 0.866
0.046 0.540 0.369
0.500 0.500 0.500
0.046 0.046 0.369
0.790 0.790 0.134
0.286 0.790 0.134
0.714 0.210 0.866
0.954 0.954 0.631
0.210 0.210 0.866
0.954 0.460 0.631
0.540 0.046 0.369
0.790 0.286 0.134
```

Properties
Density   4.4 g/cm³
Total moment   0.00 μB/atom
Space-group type   R-3m
D(E_F)   28.93 states/eV per cell
Energy relative to the lowest polymorph listed for this composition   0.127 eV per atom

[3]
An optimized crystal structure of Th8Sc3, computed with PBE.

Geometry as POSCAR:
```
Th8Sc3
1.0
4.885 0.000 0.000
-2.442 5.447 -1.165
0.000 -0.535 12.577
Th Sc
8 3
Direct
0.182 0.363 0.274
0.454 0.907 0.181
0.366 0.731 0.543
0.546 0.093 0.819
0.634 0.269 0.457
0.818 0.637 0.726
0.274 0.548 0.909
0.726 0.452 0.091
0.912 0.823 0.365
0.088 0.177 0.635
0.000 0.000 0.000
```

Properties
Density   10.0 g/cm³
Total moment   0.00 μB/atom
Space-group type   C2/m
D(E_F)   16.87 states/eV per cell
Uncorrected energy   -7.09 eV/atom

[4]
An optimized crystal structure of ThSc3, computed with PBE.

Geometry as POSCAR:
```
ThSc3
1.0
-2.308 2.904 3.058
-4.034 -2.537 -0.635
4.342 -2.918 2.268
Th Sc
1 3
Direct
0.000 0.000 0.000
0.750 0.250 0.500
0.250 0.750 0.500
0.500 0.500 0.000
```

Properties
Density   5.8 g/cm³
Total moment   0.00 μB/atom
Space-group type   I4/mmm
D(E_F)   6.82 states/eV per cell
Energy relative to the lowest polymorph listed for this composition   0.012 eV per atom

[5]
An optimized crystal structure of Th2Sc5, computed with PBE.

Geometry as POSCAR:
```
Th2Sc5
1.0
-2.450 2.901 3.738
-5.276 -0.388 0.641
-1.544 -4.820 6.527
Sc Th
5 2
Direct
0.500 0.500 0.500
0.784 0.784 0.647
0.922 0.922 0.234
0.078 0.078 0.766
0.216 0.216 0.353
0.365 0.365 0.904
0.635 0.635 0.096
```

Properties
Density   6.1 g/cm³
Total moment   0.00 μB/atom
Space-group type   R-3m
D(E_F)   16.56 states/eV per cell
Energy relative to the lowest polymorph listed for this composition   0.084 eV per atom

[6]
An optimized crystal structure of Th2Sc3, computed with PBE.

Geometry as POSCAR:
```
Th2Sc3
1.0
-3.532 3.352 -3.138
-3.303 -2.885 -4.712
-8.696 -1.996 2.309
Th Sc
4 6
Direct
0.218 0.250 0.944
0.589 0.750 0.444
0.782 0.750 0.056
0.411 0.250 0.556
0.969 0.761 0.652
0.031 0.239 0.348
0.833 0.250 0.750
0.618 0.261 0.152
0.382 0.739 0.848
0.167 0.750 0.250
```

Properties
Density   7.2 g/cm³
Total moment   0.00 μB/atom
Space-group type   C2/c
D(E_F)   13.69 states/eV per cell
Uncorrected energy   -6.72 eV/atom

[7]
An optimized crystal structure of ThSc3, computed with PBE.

Geometry as POSCAR:
```
ThSc3
1.0
-2.835 1.576 -1.217
-2.491 -4.778 -0.384
-1.947 0.589 5.301
Sc Th
3 1
Direct
0.000 0.500 0.343
0.500 0.500 0.847
0.500 0.000 0.495
0.000 0.000 0.981
```

Properties
Density   5.7 g/cm³
Total moment   0.00 μB/atom
Space-group type   Pmm2
D(E_F)   6.52 states/eV per cell
Energy relative to the lowest polymorph listed for this composition   0.023 eV per atom

[8]
An optimized crystal structure of Th5Sc, computed with PBE.

Geometry as POSCAR:
```
Th5Sc
1.0
3.581 0.000 0.000
0.000 5.891 0.000
0.000 -2.946 8.840
Th Sc
5 1
Direct
0.000 0.671 0.342
0.500 0.500 0.000
0.000 0.329 0.658
0.500 0.842 0.685
0.500 0.158 0.315
0.000 0.000 0.000
```

Properties
Density   10.7 g/cm³
Total moment   0.00 μB/atom
Space-group type   Cmmm
D(E_F)   11.08 states/eV per cell
Uncorrected energy   -7.13 eV/atom

[9]
An optimized crystal structure of ThSc8, computed with PBE.

Geometry as POSCAR:
```
ThSc8
1.0
4.688 0.000 0.000
2.344 6.966 0.000
2.344 0.000 6.966
Sc Th
8 1
Direct
0.333 0.667 0.667
0.667 0.333 0.333
0.334 0.000 0.333
0.334 0.333 0.000
0.000 0.667 0.333
0.000 0.333 0.667
0.666 0.000 0.667
0.666 0.667 0.000
0.000 0.000 0.000
```

Properties
Density   4.3 g/cm³
Total moment   0.00 μB/atom
Space-group type   I4/mmm
D(E_F)   15.92 states/eV per cell
Uncorrected energy   -6.41 eV/atom

[10]
An optimized crystal structure of ThSc3, computed with PBE.

Geometry as POSCAR:
```
ThSc3
1.0
-2.067 0.679 -4.192
-0.237 -4.673 -0.639
-4.240 -0.069 2.079
Th Sc
1 3
Direct
0.000 0.000 0.000
0.000 0.500 0.500
0.500 0.000 0.500
0.500 0.500 0.000
```

Properties
Density   5.8 g/cm³
Total moment   0.00 μB/atom
Space-group type   Pm-3m
D(E_F)   7.49 states/eV per cell
Energy relative to the lowest polymorph listed for this composition   0.000 eV per atom

[11]
An optimized crystal structure of Th5Sc6, computed with PBE.

Geometry as POSCAR:
```
Th5Sc6
1.0
-0.097 -1.832 -4.395
5.947 5.439 -7.558
2.443 -6.574 5.267
Sc Th
6 5
Direct
0.739 0.430 0.338
0.261 0.908 0.338
0.219 0.281 0.000
0.739 0.092 0.662
0.781 0.719 0.000
0.261 0.570 0.662
0.500 0.500 0.000
0.000 0.680 0.361
0.500 0.860 0.721
0.500 0.140 0.279
0.000 0.320 0.639
```

Properties
Density   7.3 g/cm³
Total moment   0.00 μB/atom
Space-group type   Immm
D(E_F)   14.66 states/eV per cell
Energy relative to the lowest polymorph listed for this composition   0.067 eV per atom

[12]
An optimized crystal structure of ThScTi4, computed with PBE.

Geometry as POSCAR:
```
ThScTi4
1.0
-4.217 -3.721 -0.037
-1.642 -2.341 -4.843
1.054 -5.434 -0.997
Ti Th Sc
4 1 1
Direct
0.125 0.625 0.625
0.625 0.625 0.125
0.625 0.625 0.625
0.625 0.125 0.625
0.250 0.250 0.250
0.000 0.000 0.000
```

Properties
Density   6.2 g/cm³
Total moment   0.63 μB/atom
Space-group type   F-43m
D(E_F)   9.92 states/eV per cell
Uncorrected energy   -7.37 eV/atom

What is the formula in the tenth record?
ThSc3

Among the records above, which one has the highest total moment?
ThScTi4

Look up the total moment of the seventh one.
0.00 μB/atom

What is the density in the ninth record?
4.3 g/cm³